*one*
# Sm4Y4Ho3 | Alexandria | GGA-PBE | relaxed
# * volume: 33.5 Å³/atom
# * Fermi-level density of states: 1.709 states/eV per atom
# * crystal system: orthorhombic
data_Sm4Y4Ho3
_space_group_name_H-M_alt 'I m m m'
_space_group_IT_number 71
_space_group_name_Hall '-I 2 2'
_cell_length_a 3.5996
_cell_length_b 9.2995
_cell_length_c 22.0326
_cell_angle_alpha 90.00
_cell_angle_beta 90.00
_cell_angle_gamma 90.00
loop_
_atom_site_label
_atom_site_type_symbol
_atom_site_fract_x
_atom_site_fract_y
_atom_site_fract_z
Sm1 Sm 0.0000 0.1788 0.1424
Y1 Y 0.0000 0.3177 0.0000
Y2 Y 0.0000 0.5000 0.2417
Ho1 Ho 0.0000 0.0000 0.3913
Ho2 Ho 0.0000 0.5000 0.5000


*two*
# Sm4Y4Ho3 | Alexandria | GGA-PBE | relaxed
# * volume: 32.4 Å³/atom
# * Fermi-level density of states: 1.772 states/eV per atom
# * crystal system: triclinic
data_Sm4Y4Ho3
_space_group_name_H-M_alt 'P -1'
_space_group_IT_number 2
_cell_length_a 3.5332
_cell_length_b 5.6336
_cell_length_c 18.2067
_cell_angle_alpha 98.89
_cell_angle_beta 95.56
_cell_angle_gamma 90.00
loop_
_space_group_symop_operation_xyz
'x,y,z'
'-x,-y,-z'
loop_
_atom_site_label
_atom_site_type_symbol
_atom_site_fract_x
_atom_site_fract_y
_atom_site_fract_z
Sm1 Sm 0.0456 0.0467 0.0916
Sm2 Sm 0.1793 0.6800 0.3595
Y1 Y 0.0900 0.5912 0.1808
Y2 Y 0.2330 0.2329 0.4657
Ho1 Ho 0.3636 0.8630 0.7265
Ho2 Ho 0.5000 0.5000 0.0000


*two* has the most favorable energy; the next structure is 72 meV/atom above.


*one*
# Sm3Y5Ho | Alexandria | GGA-PBE | relaxed
# * volume: 32.7 Å³/atom
# * Fermi-level density of states: 1.455 states/eV per atom
# * crystal system: hexagonal
data_Sm3Y5Ho
_space_group_name_H-M_alt 'P 63/m c m'
_space_group_IT_number 193
_space_group_name_Hall '-P 6c 2'
_cell_length_a 9.7955
_cell_length_b 9.7955
_cell_length_c 7.0813
_cell_angle_alpha 90.00
_cell_angle_beta 90.00
_cell_angle_gamma 120.00
loop_
_atom_site_label
_atom_site_type_symbol
_atom_site_fract_x
_atom_site_fract_y
_atom_site_fract_z
Sm1 Sm 0.0000 0.3601 0.2500
Y1 Y 0.0000 0.3054 0.7500
Y2 Y 0.3333 0.6667 0.0000
Ho1 Ho 0.0000 0.0000 0.0000


*two*
# Sm3Y5Ho | Alexandria | GGA-PBE | relaxed
# * volume: 34.5 Å³/atom
# * Fermi-level density of states: 1.550 states/eV per atom
# * crystal system: monoclinic
data_Sm3Y5Ho
_space_group_name_H-M_alt 'C 1 2/c 1'
_space_group_IT_number 15
_cell_length_a 18.2539
_cell_length_b 6.3517
_cell_length_c 11.4937
_cell_angle_alpha 90.00
_cell_angle_beta 111.24
_cell_angle_gamma 90.00
loop_
_space_group_symop_operation_xyz
'x,y,z'
'-x,-y,-z'
'-x,y,-z+1/2'
'x,-y,z+1/2'
'x+1/2,y+1/2,z'
'-x+1/2,-y+1/2,-z'
'-x+1/2,y+1/2,-z+1/2'
'x+1/2,-y+1/2,z+1/2'
loop_
_atom_site_label
_atom_site_type_symbol
_atom_site_fract_x
_atom_site_fract_y
_atom_site_fract_z
Sm1 Sm 0.0000 0.0000 0.0000
Sm2 Sm 0.1712 0.1848 0.3761
Y1 Y 0.0000 0.4076 0.2500
Y2 Y 0.1584 0.3081 0.0150
Y3 Y 0.1699 0.2823 0.7132
Ho1 Ho 0.0000 0.1125 0.7500


*one* has the most favorable energy; the next structure is 238 meV/atom above.


*one*
# SmYHo3 | Alexandria | GGA-PBE | relaxed
# * volume: 32.3 Å³/atom
# * Fermi-level density of states: 0.909 states/eV per atom
# * crystal system: orthorhombic
data_SmYHo3
_space_group_name_H-M_alt 'P n m a'
_space_group_IT_number 62
_cell_length_a 9.3555
_cell_length_b 7.3723
_cell_length_c 9.3569
_cell_angle_alpha 90.00
_cell_angle_beta 90.00
_cell_angle_gamma 90.00
loop_
_space_group_symop_operation_xyz
'x,y,z'
'-x,-y,-z'
'-x+1/2,-y,z+1/2'
'x+1/2,y,-z+1/2'
'x+1/2,-y+1/2,-z+1/2'
'-x+1/2,y+1/2,z+1/2'
'-x,y+1/2,-z'
'x,-y+1/2,z'
loop_
_atom_site_label
_atom_site_type_symbol
_atom_site_fract_x
_atom_site_fract_y
_atom_site_fract_z
Sm1 Sm 0.1726 0.2500 0.1721
Y1 Y 0.0000 0.0000 0.5000
Ho1 Ho 0.1261 0.9995 0.8743
Ho2 Ho 0.1717 0.7500 0.1730


*two*
# SmYHo3 | Alexandria | GGA-PBE | relaxed
# * volume: 31.8 Å³/atom
# * Fermi-level density of states: 1.407 states/eV per atom
# * crystal system: orthorhombic
data_SmYHo3
_space_group_name_H-M_alt 'C m c m'
_space_group_IT_number 63
_space_group_name_Hall '-C 2c 2'
_cell_length_a 5.0300
_cell_length_b 25.1508
_cell_length_c 5.0232
_cell_angle_alpha 90.00
_cell_angle_beta 90.00
_cell_angle_gamma 90.00
loop_
_atom_site_label
_atom_site_type_symbol
_atom_site_fract_x
_atom_site_fract_y
_atom_site_fract_z
Sm1 Sm 0.0000 0.1502 0.2500
Y1 Y 0.0000 0.4497 0.7500
Ho1 Ho 0.0000 0.0500 0.7500
Ho2 Ho 0.0000 0.2501 0.7500
Ho3 Ho 0.0000 0.3496 0.2500


*two* has the most favorable energy; the next structure is 61 meV/atom above.


*one*
# Sm6Y3Ho2 | Alexandria | GGA-PBE | relaxed
# * volume: 32.7 Å³/atom
# * Fermi-level density of states: 1.239 states/eV per atom
# * crystal system: trigonal
data_Sm6Y3Ho2
_space_group_name_H-M_alt 'R -3 m'
_space_group_IT_number 166
_space_group_name_Hall '-R 3 2"'
_cell_length_a 3.5958
_cell_length_b 3.5958
_cell_length_c 96.4230
_cell_angle_alpha 90.00
_cell_angle_beta 90.00
_cell_angle_gamma 120.00
loop_
_atom_site_label
_atom_site_type_symbol
_atom_site_fract_x
_atom_site_fract_y
_atom_site_fract_z
Sm1 Sm 0.0000 0.0000 0.0912
Sm2 Sm 0.0000 0.0000 0.1821
Sm3 Sm 0.0000 0.0000 0.3637
Y1 Y 0.0000 0.0000 0.0000
Y2 Y 0.0000 0.0000 0.2726
Ho1 Ho 0.0000 0.0000 0.4545


*two*
# Sm6Y3Ho2 | Alexandria | GGA-PBE | relaxed
# * volume: 34.6 Å³/atom
# * Fermi-level density of states: 1.377 states/eV per atom
# * crystal system: tetragonal
data_Sm6Y3Ho2
_space_group_name_H-M_alt 'I 4/m m m'
_space_group_IT_number 139
_space_group_name_Hall '-I 4 2'
_cell_length_a 4.7771
_cell_length_b 4.7771
_cell_length_c 33.3902
_cell_angle_alpha 90.00
_cell_angle_beta 90.00
_cell_angle_gamma 90.00
loop_
_atom_site_label
_atom_site_type_symbol
_atom_site_fract_x
_atom_site_fract_y
_atom_site_fract_z
Sm1 Sm 0.0000 0.0000 0.1948
Sm2 Sm 0.0000 0.5000 0.1194
Y1 Y 0.0000 0.0000 0.2988
Y2 Y 0.0000 0.0000 0.5000
Ho1 Ho 0.0000 0.0000 0.0454


*one* has the most favorable energy; the next structure is 271 meV/atom above.


*one*
# Sm2Y4Ho5 | Alexandria | GGA-PBE | relaxed
# * volume: 32.5 Å³/atom
# * Fermi-level density of states: 1.895 states/eV per atom
# * crystal system: monoclinic
data_Sm2Y4Ho5
_space_group_name_H-M_alt 'C 1 2/m 1'
_space_group_IT_number 12
_cell_length_a 23.7682
_cell_length_b 3.4727
_cell_length_c 8.7167
_cell_angle_alpha 90.00
_cell_angle_beta 96.56
_cell_angle_gamma 90.00
loop_
_space_group_symop_operation_xyz
'x,y,z'
'-x,-y,-z'
'-x,y,-z'
'x,-y,z'
'x+1/2,y+1/2,z'
'-x+1/2,-y+1/2,-z'
'-x+1/2,y+1/2,-z'
'x+1/2,-y+1/2,z'
loop_
_atom_site_label
_atom_site_type_symbol
_atom_site_fract_x
_atom_site_fract_y
_atom_site_fract_z
Sm1 Sm 0.0926 0.0000 0.2447
Y1 Y 0.0454 0.0000 0.8601
Y2 Y 0.1778 0.5000 0.9737
Ho1 Ho 0.0000 0.5000 0.5000
Ho2 Ho 0.1414 0.0000 0.6214
Ho3 Ho 0.2331 0.0000 0.3269


*two*
# Sm2Y4Ho5 | Alexandria | GGA-PBE | relaxed
# * volume: 33.4 Å³/atom
# * Fermi-level density of states: 1.535 states/eV per atom
# * crystal system: orthorhombic
data_Sm2Y4Ho5
_space_group_name_H-M_alt 'I m m m'
_space_group_IT_number 71
_space_group_name_Hall '-I 2 2'
_cell_length_a 3.5059
_cell_length_b 9.0306
_cell_length_c 23.2425
_cell_angle_alpha 90.00
_cell_angle_beta 90.00
_cell_angle_gamma 90.00
loop_
_atom_site_label
_atom_site_type_symbol
_atom_site_fract_x
_atom_site_fract_y
_atom_site_fract_z
Sm1 Sm 0.0000 0.0000 0.2326
Y1 Y 0.0000 0.0000 0.0983
Y2 Y 0.0000 0.3087 0.5000
Ho1 Ho 0.0000 0.1950 0.3569
Ho2 Ho 0.0000 0.5000 0.0000


*one* has the most favorable energy; the next structure is 85 meV/atom above.


*one*
# Sm3YHo4 | Alexandria | GGA-PBE | relaxed
# * volume: 32.6 Å³/atom
# * Fermi-level density of states: 1.743 states/eV per atom
# * crystal system: orthorhombic
data_Sm3YHo4
_space_group_name_H-M_alt 'P m n 21'
_space_group_IT_number 31
_cell_length_a 11.3644
_cell_length_b 7.2968
_cell_length_c 6.2989
_cell_angle_alpha 90.00
_cell_angle_beta 90.00
_cell_angle_gamma 90.00
loop_
_space_group_symop_operation_xyz
'x,y,z'
'-x+1/2,-y,z+1/2'
'-x,y,z'
'x+1/2,-y,z+1/2'
loop_
_atom_site_label
_atom_site_type_symbol
_atom_site_fract_x
_atom_site_fract_y
_atom_site_fract_z
Sm1 Sm 0.0000 0.1277 0.0000
Sm2 Sm 0.2494 0.8730 0.8341
Y1 Y 0.0000 0.8723 0.4983
Ho1 Ho 0.0000 0.3769 0.4996
Ho2 Ho 0.0000 0.6217 0.9994
Ho3 Ho 0.2493 0.6223 0.3314


*two*
# Sm3YHo4 | Alexandria | GGA-PBE | relaxed
# * volume: 32.9 Å³/atom
# * Fermi-level density of states: 1.799 states/eV per atom
# * crystal system: monoclinic
data_Sm3YHo4
_space_group_name_H-M_alt 'C 1 2/m 1'
_space_group_IT_number 12
_cell_length_a 23.4981
_cell_length_b 3.4895
_cell_length_c 6.7023
_cell_angle_alpha 90.00
_cell_angle_beta 106.50
_cell_angle_gamma 90.00
loop_
_space_group_symop_operation_xyz
'x,y,z'
'-x,-y,-z'
'-x,y,-z'
'x,-y,z'
'x+1/2,y+1/2,z'
'-x+1/2,-y+1/2,-z'
'-x+1/2,y+1/2,-z'
'x+1/2,-y+1/2,z'
loop_
_atom_site_label
_atom_site_type_symbol
_atom_site_fract_x
_atom_site_fract_y
_atom_site_fract_z
Sm1 Sm 0.0000 0.0000 0.0000
Sm2 Sm 0.1265 0.0000 0.8724
Y1 Y 0.0000 0.5000 0.5000
Ho1 Ho 0.1250 0.0000 0.3841
Ho2 Ho 0.2399 0.5000 0.7331


*one* has the most favorable energy; the next structure is 144 meV/atom above.


*one*
# Sm2Y7Ho2 | Alexandria | GGA-PBE | relaxed
# * volume: 33.0 Å³/atom
# * Fermi-level density of states: 1.731 states/eV per atom
# * crystal system: monoclinic
data_Sm2Y7Ho2
_space_group_name_H-M_alt 'C 1 2/m 1'
_space_group_IT_number 12
_cell_length_a 8.9615
_cell_length_b 9.5002
_cell_length_c 8.7132
_cell_angle_alpha 90.00
_cell_angle_beta 101.97
_cell_angle_gamma 90.00
loop_
_space_group_symop_operation_xyz
'x,y,z'
'-x,-y,-z'
'-x,y,-z'
'x,-y,z'
'x+1/2,y+1/2,z'
'-x+1/2,-y+1/2,-z'
'-x+1/2,y+1/2,-z'
'x+1/2,-y+1/2,z'
loop_
_atom_site_label
_atom_site_type_symbol
_atom_site_fract_x
_atom_site_fract_y
_atom_site_fract_z
Sm1 Sm 0.0000 0.1771 0.0000
Y1 Y 0.0000 0.5000 0.5000
Y2 Y 0.1506 0.5000 0.9066
Y3 Y 0.2362 0.1825 0.7062
Ho1 Ho 0.1046 0.0000 0.3547


*two*
# Sm2Y7Ho2 | Alexandria | GGA-PBE | relaxed
# * volume: 33.0 Å³/atom
# * Fermi-level density of states: 1.659 states/eV per atom
# * crystal system: monoclinic
data_Sm2Y7Ho2
_space_group_name_H-M_alt 'C 1 2/m 1'
_space_group_IT_number 12
_cell_length_a 11.1819
_cell_length_b 11.6420
_cell_length_c 6.0674
_cell_angle_alpha 90.00
_cell_angle_beta 113.10
_cell_angle_gamma 90.00
loop_
_space_group_symop_operation_xyz
'x,y,z'
'-x,-y,-z'
'-x,y,-z'
'x,-y,z'
'x+1/2,y+1/2,z'
'-x+1/2,-y+1/2,-z'
'-x+1/2,y+1/2,-z'
'x+1/2,-y+1/2,z'
loop_
_atom_site_label
_atom_site_type_symbol
_atom_site_fract_x
_atom_site_fract_y
_atom_site_fract_z
Sm1 Sm 0.0000 0.2123 0.0000
Y1 Y 0.0000 0.0000 0.5000
Y2 Y 0.0909 0.5000 0.3049
Y3 Y 0.1735 0.2381 0.6775
Ho1 Ho 0.2313 0.0000 0.0841


*one* has the most favorable energy; the next structure is 54 meV/atom above.


*one*
# Sm4YHo5 | Alexandria | GGA-PBE | relaxed
# * volume: 33.7 Å³/atom
# * Fermi-level density of states: 1.325 states/eV per atom
# * crystal system: monoclinic
data_Sm4YHo5
_space_group_name_H-M_alt 'C 1 2/m 1'
_space_group_IT_number 12
_cell_length_a 17.1669
_cell_length_b 3.5256
_cell_length_c 11.1250
_cell_angle_alpha 90.00
_cell_angle_beta 90.13
_cell_angle_gamma 90.00
loop_
_space_group_symop_operation_xyz
'x,y,z'
'-x,-y,-z'
'-x,y,-z'
'x,-y,z'
'x+1/2,y+1/2,z'
'-x+1/2,-y+1/2,-z'
'-x+1/2,y+1/2,-z'
'x+1/2,-y+1/2,z'
loop_
_atom_site_label
_atom_site_type_symbol
_atom_site_fract_x
_atom_site_fract_y
_atom_site_fract_z
Sm1 Sm 0.0305 0.0000 0.2489
Sm2 Sm 0.1548 0.5000 0.7502
Y1 Y 0.0000 0.5000 0.5000
Ho1 Ho 0.0000 0.5000 0.0000
Ho2 Ho 0.1737 0.0000 0.0518
Ho3 Ho 0.1743 0.0000 0.4467


*two*
# Sm4YHo5 | Alexandria | GGA-PBE | relaxed
# * volume: 33.5 Å³/atom
# * Fermi-level density of states: 1.327 states/eV per atom
# * crystal system: tetragonal
data_Sm4YHo5
_space_group_name_H-M_alt 'I 4 m m'
_space_group_IT_number 107
_space_group_name_Hall 'I 4 -2'
_cell_length_a 10.6440
_cell_length_b 10.6440
_cell_length_c 5.9220
_cell_angle_alpha 90.00
_cell_angle_beta 90.00
_cell_angle_gamma 90.00
loop_
_atom_site_label
_atom_site_type_symbol
_atom_site_fract_x
_atom_site_fract_y
_atom_site_fract_z
Sm1 Sm 0.0000 0.3241 0.0000
Y1 Y 0.0000 0.0000 0.7635
Ho1 Ho 0.0000 0.0000 0.2377
Ho2 Ho 0.1893 0.1893 0.4950


*one* has the most favorable energy; the next structure is 64 meV/atom above.


*one*
# Sm7YHo12 | Alexandria | GGA-PBE | relaxed
# * volume: 35.6 Å³/atom
# * Fermi-level density of states: 1.299 states/eV per atom
# * crystal system: cubic
data_Sm7YHo12
_space_group_name_H-M_alt 'I m -3 m'
_space_group_IT_number 229
_space_group_name_Hall '-I 4 2 3'
_cell_length_a 11.2481
_cell_length_b 11.2481
_cell_length_c 11.2481
_cell_angle_alpha 90.00
_cell_angle_beta 90.00
_cell_angle_gamma 90.00
loop_
_atom_site_label
_atom_site_type_symbol
_atom_site_fract_x
_atom_site_fract_y
_atom_site_fract_z
Sm1 Sm 0.0000 0.0000 0.5000
Sm2 Sm 0.2500 0.2500 0.2500
Y1 Y 0.0000 0.0000 0.0000
Ho1 Ho 0.0000 0.2485 0.2485


*two*
# Sm7YHo12 | Alexandria | GGA-PBE | relaxed
# * volume: 33.3 Å³/atom
# * Fermi-level density of states: 1.797 states/eV per atom
# * crystal system: trigonal
data_Sm7YHo12
_space_group_name_H-M_alt 'R -3'
_space_group_IT_number 148
_space_group_name_Hall '-R 3'
_cell_length_a 11.9378
_cell_length_b 11.9378
_cell_length_c 16.1886
_cell_angle_alpha 90.00
_cell_angle_beta 90.00
_cell_angle_gamma 120.00
loop_
_atom_site_label
_atom_site_type_symbol
_atom_site_fract_x
_atom_site_fract_y
_atom_site_fract_z
Sm1 Sm 0.0000 0.0000 0.0000
Sm2 Sm 0.0545 0.8653 0.2908
Y1 Y 0.0000 0.0000 0.5000
Ho1 Ho 0.0226 0.5737 0.2217
Ho2 Ho 0.0501 0.4636 0.5830


*two* has the most favorable energy; the next structure is 430 meV/atom above.


*one*
# Sm2Y3Ho6 | Alexandria | GGA-PBE | relaxed
# * volume: 33.6 Å³/atom
# * Fermi-level density of states: 1.534 states/eV per atom
# * crystal system: tetragonal
data_Sm2Y3Ho6
_space_group_name_H-M_alt 'I 4/m m m'
_space_group_IT_number 139
_space_group_name_Hall '-I 4 2'
_cell_length_a 4.7331
_cell_length_b 4.7331
_cell_length_c 33.0071
_cell_angle_alpha 90.00
_cell_angle_beta 90.00
_cell_angle_gamma 90.00
loop_
_atom_site_label
_atom_site_type_symbol
_atom_site_fract_x
_atom_site_fract_y
_atom_site_fract_z
Sm1 Sm 0.0000 0.0000 0.0460
Y1 Y 0.0000 0.0000 0.2974
Y2 Y 0.0000 0.0000 0.5000
Ho1 Ho 0.0000 0.0000 0.1931
Ho2 Ho 0.0000 0.5000 0.1208


*two*
# Sm2Y3Ho6 | Alexandria | GGA-PBE | relaxed
# * volume: 33.8 Å³/atom
# * Fermi-level density of states: 1.709 states/eV per atom
# * crystal system: monoclinic
data_Sm2Y3Ho6
_space_group_name_H-M_alt 'C 1 2/m 1'
_space_group_IT_number 12
_cell_length_a 6.1095
_cell_length_b 10.6011
_cell_length_c 11.6555
_cell_angle_alpha 90.00
_cell_angle_beta 100.18
_cell_angle_gamma 90.00
loop_
_space_group_symop_operation_xyz
'x,y,z'
'-x,-y,-z'
'-x,y,-z'
'x,-y,z'
'x+1/2,y+1/2,z'
'-x+1/2,-y+1/2,-z'
'-x+1/2,y+1/2,-z'
'x+1/2,-y+1/2,z'
loop_
_atom_site_label
_atom_site_type_symbol
_atom_site_fract_x
_atom_site_fract_y
_atom_site_fract_z
Sm1 Sm 0.0000 0.1665 0.0000
Y1 Y 0.0000 0.0000 0.5000
Y2 Y 0.0000 0.3349 0.5000
Ho1 Ho 0.2494 0.0000 0.2505
Ho2 Ho 0.2498 0.1669 0.7493


*two* has the most favorable energy; the next structure is 76 meV/atom above.